1.
Compound: Tm2AsS
Source: Alexandria
Functional: GGA-PBE
Structure: relaxed Values from VASP.

Properties
The formation energy from raw total energies is -158.2 kJ per mole of atoms. Its distance to the lowest polymorph of the same formula is 0.109 eV per atom. Its crystal system is orthorhombic. The value obtained for the density of states at the Fermi level is 1.44 states/eV/f.u. The total magnetization comes out at 0.00 Bohr magnetons per cell. For the raw total energy, the calculation gives -0.22304 Ha/atom.

Quantum ESPRESSO input file:
```
&SYSTEM
  ibrav = 0, nat = 8, ntyp = 3
/
ATOMIC_SPECIES
Tm 168.93 Tm.upf
As 74.92 As.upf
S 32.06 S.upf
CELL_PARAMETERS angstrom
2.056 -8.379 0.000
2.056 8.379 0.000
0.000 0.000 5.574
ATOMIC_POSITIONS crystal
Tm 0.082 0.918 0.750
Tm 0.310 0.690 0.750
Tm 0.690 0.310 0.250
Tm 0.918 0.082 0.250
As 0.309 0.691 0.250
As 0.691 0.309 0.750
S 0.077 0.923 0.250
S 0.923 0.077 0.750
```

2.
Compound: TmUAsS2
Source: Alexandria
Functional: GGA-PBE
Structure: relaxed Values from VASP.

Properties
The formation energy from raw total energies is -95.5 kJ per mole of atoms. Its crystal system is tetragonal. The value obtained for the density of states at the Fermi level is 8.27 states/eV/f.u. The total magnetization comes out at 2.00 Bohr magnetons per cell. For the raw total energy, the calculation gives -0.24705 Ha/atom.

Quantum ESPRESSO input file:
```
&SYSTEM
  ibrav = 0, nat = 5, ntyp = 4
/
ATOMIC_SPECIES
Tm 168.93 Tm.upf
U 238.03 U.upf
As 74.92 As.upf
S 32.06 S.upf
CELL_PARAMETERS angstrom
-2.088 2.088 6.649
2.088 -2.088 6.649
2.088 2.088 -6.649
ATOMIC_POSITIONS crystal
Tm 0.000 0.000 0.000
U 0.254 0.254 0.000
As 0.644 0.644 0.000
S 0.381 0.881 0.500
S 0.881 0.381 0.500
```

3.
Compound: UAsS4
Source: Alexandria
Functional: GGA-PBE
Structure: relaxed Values from VASP.

Properties
The formation energy from raw total energies is -57.2 kJ per mole of atoms. Its distance to the lowest polymorph of the same formula is 0.132 eV per atom. Its crystal system is monoclinic. The value obtained for the density of states at the Fermi level is 4.30 states/eV/f.u. The total magnetization comes out at 2.00 Bohr magnetons per cell. For the raw total energy, the calculation gives -0.22050 Ha/atom.

Quantum ESPRESSO input file:
```
&SYSTEM
  ibrav = 0, nat = 12, ntyp = 3
/
ATOMIC_SPECIES
U 238.03 U.upf
As 74.92 As.upf
S 32.06 S.upf
CELL_PARAMETERS angstrom
7.812 -2.606 0.000
7.812 2.606 0.000
-3.009 0.000 8.232
ATOMIC_POSITIONS crystal
U 0.206 0.206 0.308
U 0.794 0.794 0.692
As 0.098 0.098 0.752
As 0.902 0.902 0.248
S 0.056 0.056 0.372
S 0.103 0.103 0.013
S 0.283 0.283 0.638
S 0.359 0.359 0.261
S 0.641 0.641 0.739
S 0.717 0.717 0.362
S 0.897 0.897 0.987
S 0.944 0.944 0.628
```

4.
Compound: U5AsS4
Source: Alexandria
Functional: GGA-PBE
Structure: relaxed Values from VASP.

Properties
The formation energy from raw total energies is -116.4 kJ per mole of atoms. Its crystal system is orthorhombic. The value obtained for the density of states at the Fermi level is 27.22 states/eV/f.u. The total magnetization comes out at 2.35 Bohr magnetons per cell. For the raw total energy, the calculation gives -0.32952 Ha/atom.

Quantum ESPRESSO input file:
```
&SYSTEM
  ibrav = 0, nat = 10, ntyp = 3
/
ATOMIC_SPECIES
U 238.03 U.upf
As 74.92 As.upf
S 32.06 S.upf
CELL_PARAMETERS angstrom
-1.897 2.768 10.064
1.897 -2.768 10.064
1.897 2.768 -10.064
ATOMIC_POSITIONS crystal
U 0.000 0.000 0.000
U 0.200 0.200 0.000
U 0.395 0.395 0.000
U 0.605 0.605 0.000
U 0.800 0.800 0.000
As 0.500 0.000 0.500
S 0.100 0.600 0.500
S 0.297 0.797 0.500
S 0.703 0.203 0.500
S 0.900 0.400 0.500
```

5.
Compound: U3AsS3
Source: Alexandria
Functional: GGA-PBE
Structure: relaxed Values from VASP.

Properties
The formation energy from raw total energies is -111.6 kJ per mole of atoms. Its distance to the lowest polymorph of the same formula is 0.000 eV per atom. Its crystal system is trigonal. The value obtained for the density of states at the Fermi level is 15.43 states/eV/f.u. The total magnetization comes out at 16.63 Bohr magnetons per cell. For the raw total energy, the calculation gives -0.30972 Ha/atom.

Quantum ESPRESSO input file:
```
&SYSTEM
  ibrav = 0, nat = 14, ntyp = 3
/
ATOMIC_SPECIES
U 238.03 U.upf
As 74.92 As.upf
S 32.06 S.upf
CELL_PARAMETERS angstrom
4.128 2.384 5.464
-4.128 2.384 5.464
0.000 -4.767 5.464
ATOMIC_POSITIONS crystal
U 0.049 0.426 0.793
U 0.207 0.951 0.574
U 0.426 0.793 0.049
U 0.574 0.207 0.951
U 0.793 0.049 0.426
U 0.951 0.574 0.207
As 0.167 0.167 0.167
As 0.833 0.833 0.833
S 0.133 0.691 0.406
S 0.309 0.594 0.867
S 0.406 0.133 0.691
S 0.594 0.867 0.309
S 0.691 0.406 0.133
S 0.867 0.309 0.594
```

6.
Compound: U3AsS3
Source: Alexandria
Functional: GGA-PBE
Structure: relaxed Values from VASP.

Properties
The formation energy from raw total energies is -107.8 kJ per mole of atoms. Its distance to the lowest polymorph of the same formula is 0.039 eV per atom. Its crystal system is cubic. The value obtained for the density of states at the Fermi level is 18.84 states/eV/f.u. The total magnetization comes out at 7.01 Bohr magnetons per cell. For the raw total energy, the calculation gives -0.30828 Ha/atom.

Quantum ESPRESSO input file:
```
&SYSTEM
  ibrav = 0, nat = 7, ntyp = 3
/
ATOMIC_SPECIES
U 238.03 U.upf
As 74.92 As.upf
S 32.06 S.upf
CELL_PARAMETERS angstrom
5.542 0.000 0.000
0.000 5.542 0.000
0.000 0.000 5.542
ATOMIC_POSITIONS crystal
U 0.000 0.000 0.500
U 0.000 0.500 0.000
U 0.500 0.000 0.000
As 0.000 0.000 0.000
S 0.000 0.500 0.500
S 0.500 0.000 0.500
S 0.500 0.500 0.000
```

7.
Compound: UAsS3
Source: Alexandria
Functional: GGA-PBE
Structure: relaxed Values from VASP.

Properties
The formation energy from raw total energies is -65.0 kJ per mole of atoms. Its crystal system is monoclinic. The value obtained for the density of states at the Fermi level is 4.74 states/eV/f.u. The total magnetization comes out at 2.02 Bohr magnetons per cell. For the raw total energy, the calculation gives -0.23289 Ha/atom.

Quantum ESPRESSO input file:
```
&SYSTEM
  ibrav = 0, nat = 10, ntyp = 3
/
ATOMIC_SPECIES
U 238.03 U.upf
As 74.92 As.upf
S 32.06 S.upf
CELL_PARAMETERS angstrom
6.584 -2.539 0.000
6.584 2.539 0.000
-2.512 0.000 8.383
ATOMIC_POSITIONS crystal
U 0.121 0.121 0.409
U 0.879 0.879 0.591
As 0.408 0.408 0.930
As 0.592 0.592 0.070
S 0.082 0.082 0.679
S 0.135 0.135 0.121
S 0.334 0.334 0.534
S 0.666 0.666 0.466
S 0.865 0.865 0.879
S 0.918 0.918 0.321
```

8.
Compound: U3AsS2
Source: Alexandria
Functional: GGA-PBE
Structure: relaxed Values from VASP.

Properties
The formation energy from raw total energies is -73.5 kJ per mole of atoms. Its distance to the lowest polymorph of the same formula is 0.055 eV per atom. Its crystal system is orthorhombic. The value obtained for the density of states at the Fermi level is 10.98 states/eV/f.u. The total magnetization comes out at 1.57 Bohr magnetons per cell. For the raw total energy, the calculation gives -0.31446 Ha/atom.

Quantum ESPRESSO input file:
```
&SYSTEM
  ibrav = 0, nat = 12, ntyp = 3
/
ATOMIC_SPECIES
U 238.03 U.upf
As 74.92 As.upf
S 32.06 S.upf
CELL_PARAMETERS angstrom
5.672 -3.512 0.000
5.672 3.512 0.000
0.000 0.000 6.470
ATOMIC_POSITIONS crystal
U 0.034 0.966 0.750
U 0.146 0.558 0.750
U 0.442 0.854 0.750
U 0.558 0.146 0.250
U 0.854 0.442 0.250
U 0.966 0.034 0.250
As 0.370 0.630 0.250
As 0.630 0.370 0.750
S 0.207 0.207 0.000
S 0.207 0.207 0.500
S 0.793 0.793 0.000
S 0.793 0.793 0.500
```

9.
Compound: U2AsS
Source: Alexandria
Functional: GGA-PBE
Structure: relaxed Values from VASP.

Properties
The formation energy from raw total energies is -100.6 kJ per mole of atoms. Its distance to the lowest polymorph of the same formula is 0.000 eV per atom. Its crystal system is trigonal. The value obtained for the density of states at the Fermi level is 9.88 states/eV/f.u. The total magnetization comes out at 4.77 Bohr magnetons per cell. For the raw total energy, the calculation gives -0.32638 Ha/atom.

Quantum ESPRESSO input file:
```
&SYSTEM
  ibrav = 0, nat = 4, ntyp = 3
/
ATOMIC_SPECIES
U 238.03 U.upf
As 74.92 As.upf
S 32.06 S.upf
CELL_PARAMETERS angstrom
2.010 1.160 6.356
-2.010 1.160 6.356
0.000 -2.321 6.356
ATOMIC_POSITIONS crystal
U 0.245 0.245 0.245
U 0.755 0.755 0.755
As 0.000 0.000 0.000
S 0.500 0.500 0.500
```

10.
Compound: U2AsS2
Source: Alexandria
Functional: GGA-PBE
Structure: relaxed Values from VASP.

Properties
The formation energy from raw total energies is 107.7 kJ per mole of atoms. Its distance to the lowest polymorph of the same formula is 2.213 eV per atom. Its crystal system is tetragonal. The value obtained for the density of states at the Fermi level is 24.28 states/eV/f.u. The total magnetization comes out at 5.00 Bohr magnetons per cell. For the raw total energy, the calculation gives -0.21976 Ha/atom.

Quantum ESPRESSO input file:
```
&SYSTEM
  ibrav = 0, nat = 5, ntyp = 3
/
ATOMIC_SPECIES
U 238.03 U.upf
As 74.92 As.upf
S 32.06 S.upf
CELL_PARAMETERS angstrom
9.900 0.000 0.000
0.000 9.900 0.000
0.000 0.000 14.634
ATOMIC_POSITIONS crystal
U 0.000 0.000 0.184
U 0.000 0.000 0.816
As 0.000 0.000 0.000
S 0.000 0.000 0.345
S 0.000 0.000 0.655
```

11.
Compound: UAsS4
Source: Alexandria
Functional: GGA-PBE
Structure: relaxed Values from VASP.

Properties
The formation energy from raw total energies is -69.9 kJ per mole of atoms. Its distance to the lowest polymorph of the same formula is 0.000 eV per atom. Its crystal system is monoclinic. The value obtained for the density of states at the Fermi level is 4.26 states/eV/f.u. The total magnetization comes out at 1.00 Bohr magnetons per cell. For the raw total energy, the calculation gives -0.22534 Ha/atom.

Quantum ESPRESSO input file:
```
&SYSTEM
  ibrav = 0, nat = 6, ntyp = 3
/
ATOMIC_SPECIES
U 238.03 U.upf
As 74.92 As.upf
S 32.06 S.upf
CELL_PARAMETERS angstrom
6.910 -1.938 0.000
6.910 1.938 0.000
-1.873 0.000 6.340
ATOMIC_POSITIONS crystal
U 0.000 0.000 0.000
As 0.500 0.500 0.500
S 0.102 0.102 0.393
S 0.395 0.395 0.110
S 0.605 0.605 0.890
S 0.898 0.898 0.607
```

12.
Compound: UAsS2
Source: Alexandria
Functional: GGA-PBE
Structure: relaxed Values from VASP.

Properties
The formation energy from raw total energies is 7.1 kJ per mole of atoms. Its crystal system is trigonal. The value obtained for the density of states at the Fermi level is 5.47 states/eV/f.u. The total magnetization comes out at 3.20 Bohr magnetons per cell. For the raw total energy, the calculation gives -0.21956 Ha/atom.

Quantum ESPRESSO input file:
```
&SYSTEM
  ibrav = 0, nat = 4, ntyp = 3
/
ATOMIC_SPECIES
U 238.03 U.upf
As 74.92 As.upf
S 32.06 S.upf
CELL_PARAMETERS angstrom
1.749 1.010 8.453
-1.749 1.010 8.453
0.000 -2.019 8.453
ATOMIC_POSITIONS crystal
U 0.000 0.000 0.000
As 0.500 0.500 0.500
S 0.106 0.106 0.106
S 0.894 0.894 0.894
```